# 1
Computed, not measured: a geometry-optimized La3Ce5Te8 structure at the PBE level of DFT.

Its density of states at the Fermi level is 38.8 states/eV/f.u. As for the crystal system: trigonal. Its raw formation energy is -23.20 eV per formula unit. For the volume, the calculation gives 524.8 Å³/cell. As for the calculated total energy: -5.7993 eV per atom. The total magnetic moment comes out at 5.8 μB/cell.

Cell and atoms, written as POSCAR:
```
La3Ce5Te8
1.0
4.515 2.607 7.431
-4.515 2.607 7.431
0.000 -5.214 7.431
La Ce Te
3 5 8
Cartesian
-2.258 -1.303 7.431 La
-2.258 1.303 14.861 La
0.000 2.607 7.431 La
0.000 0.000 0.000 Ce
-4.515 0.000 11.146 Ce
-2.258 1.303 3.715 Ce
2.258 1.303 3.715 Ce
0.000 0.000 11.146 Ce
-2.275 -1.313 12.975 Te
0.000 0.000 5.532 Te
0.000 -2.626 9.316 Te
-2.275 1.313 9.316 Te
2.275 -1.313 12.975 Te
0.000 2.626 12.975 Te
0.000 0.000 16.759 Te
2.275 1.313 9.316 Te
```

=====

# 2
Computed, not measured: a geometry-optimized La3Ce4Te8 structure at the PBE level of DFT.

Its density of states at the Fermi level is 31.9 states/eV/f.u. As for the crystal system: monoclinic. Its raw formation energy is -22.04 eV per formula unit. For the volume, the calculation gives 525.5 Å³/cell. As for the calculated total energy: -5.7127 eV per atom. The total magnetic moment comes out at 5.2 μB/cell.

Cell and atoms, written as POSCAR:
```
La3Ce4Te8
1.0
6.404 -6.405 0.000
6.404 6.405 0.000
-6.368 0.000 6.406
La Ce Te
3 4 8
Cartesian
0.000 0.000 0.000 La
0.018 3.202 3.203 La
0.018 -3.202 3.203 La
3.202 3.202 0.000 Ce
3.202 -3.202 0.000 Ce
6.404 0.000 0.000 Ce
3.220 0.000 3.203 Ce
3.220 3.241 3.203 Te
-0.023 0.000 3.225 Te
-3.144 0.000 6.362 Te
6.404 3.182 0.000 Te
6.404 -3.182 0.000 Te
9.584 0.000 0.044 Te
6.463 0.000 3.181 Te
3.220 -3.241 3.203 Te
```

=====

# 3
Computed, not measured: a geometry-optimized LaCe2Te3 structure at the PBE level of DFT.

Its density of states at the Fermi level is 15.5 states/eV/f.u. As for the crystal system: orthorhombic. Its raw formation energy is -8.63 eV per formula unit. For the volume, the calculation gives 196.5 Å³/cell. As for the calculated total energy: -5.8090 eV per atom. The total magnetic moment comes out at 2.5 μB/cell.

Cell and atoms, written as POSCAR:
```
LaCe2Te3
1.0
-2.245 3.200 6.836
2.245 -3.200 6.836
2.245 3.200 -6.836
La Ce Te
1 2 3
Cartesian
0.000 0.000 0.000 La
0.000 0.000 4.571 Ce
0.000 0.000 9.101 Ce
2.245 0.000 2.320 Te
0.000 3.200 0.000 Te
0.000 3.200 4.516 Te
```

=====

# 4
Computed, not measured: a geometry-optimized La5CeTe6 structure at the PBE level of DFT.

Its density of states at the Fermi level is 14.3 states/eV/f.u. As for the crystal system: monoclinic. Its raw formation energy is -18.69 eV per formula unit. For the volume, the calculation gives 405.0 Å³/cell. As for the calculated total energy: -5.6761 eV per atom. The total magnetic moment comes out at 1.2 μB/cell.

Cell and atoms, written as POSCAR:
```
La5CeTe6
1.0
3.949 -6.857 0.000
3.949 6.857 0.000
-2.646 0.000 7.477
La Ce Te
5 1 6
Cartesian
0.000 0.000 0.000 La
2.626 4.575 3.739 La
3.949 2.322 0.000 La
3.949 -2.322 0.000 La
2.626 -4.575 3.739 La
2.626 0.000 3.739 Ce
1.328 2.262 1.889 Te
0.019 0.000 5.609 Te
1.328 -2.262 1.889 Te
3.924 2.262 5.588 Te
5.234 0.000 1.869 Te
3.924 -2.262 5.588 Te
```

=====

# 5
Computed, not measured: a geometry-optimized La2CeTe3 structure at the PBE level of DFT.

Its density of states at the Fermi level is 9.6 states/eV/f.u. As for the crystal system: orthorhombic. Its raw formation energy is -9.11 eV per formula unit. For the volume, the calculation gives 200.5 Å³/cell. As for the calculated total energy: -5.7200 eV per atom. The total magnetic moment comes out at 1.3 μB/cell.

Cell and atoms, written as POSCAR:
```
La2CeTe3
1.0
-2.268 3.221 6.861
2.268 -3.221 6.861
2.268 3.221 -6.861
La Ce Te
2 1 3
Cartesian
0.000 0.000 2.308 La
0.000 0.000 11.413 La
0.000 0.000 6.861 Ce
2.268 0.000 0.000 Te
2.268 0.000 4.619 Te
0.000 3.221 2.241 Te
```

=====

# 6
Computed, not measured: a geometry-optimized LaCe4Te5 structure at the PBE level of DFT.

Its density of states at the Fermi level is 30.5 states/eV/f.u. As for the crystal system: tetragonal. Its raw formation energy is -14.07 eV per formula unit. For the volume, the calculation gives 324.7 Å³/cell. As for the calculated total energy: -5.8442 eV per atom. The total magnetic moment comes out at 4.9 μB/cell.

Cell and atoms, written as POSCAR:
```
LaCe4Te5
1.0
-2.257 2.257 15.930
2.257 -2.257 15.930
2.257 2.257 -15.930
La Ce Te
1 4 5
Cartesian
0.000 0.000 0.000 La
0.000 0.000 6.393 Ce
0.000 0.000 12.731 Ce
0.000 0.000 19.129 Ce
0.000 0.000 25.467 Ce
0.000 0.000 3.221 Te
0.000 0.000 9.562 Te
0.000 0.000 15.930 Te
0.000 0.000 22.298 Te
0.000 0.000 28.639 Te
```